1.
# ThTlAgF6 | Alexandria | PBE | relaxed
data_ThTlAgF6
_chemical_formula_sum 'Th2 Tl2 Ag2 F12'
_symmetry_space_group_name_H-M 'P -3 1 c'
_symmetry_Int_Tables_number 163
_symmetry_space_group_name_Hall '-P 3 2c'
_cell_length_a 6.4803
_cell_length_b 6.4803
_cell_length_c 10.9408
_cell_angle_alpha 90.00
_cell_angle_beta 90.00
_cell_angle_gamma 120.00
loop_
_atom_site_label
_atom_site_type_symbol
_atom_site_fract_x
_atom_site_fract_y
_atom_site_fract_z
Th1 Th 0.3333 0.6667 0.2500
Tl1 Tl 0.0000 0.0000 0.0000
Ag1 Ag 0.3333 0.6667 0.7500
F1 F 0.0324 0.3810 0.1401
# E_form (uncorrected) ... -2880 meV per atom
# Total magnetic moment ... 0.24 μB per cell

***

2.
# Ti2AgF11 | Alexandria | PBE | relaxed
data_Ti2AgF11
_chemical_formula_sum 'Ti8 Ag4 F44'
_symmetry_space_group_name_H-M 'I b a m'
_symmetry_Int_Tables_number 72
_symmetry_space_group_name_Hall '-I 2 2c'
_cell_length_a 7.7104
_cell_length_b 10.1691
_cell_length_c 10.4372
_cell_angle_alpha 90.00
_cell_angle_beta 90.00
_cell_angle_gamma 90.00
loop_
_atom_site_label
_atom_site_type_symbol
_atom_site_fract_x
_atom_site_fract_y
_atom_site_fract_z
Ti1 Ti 0.0549 0.1910 0.0000
Ag1 Ag 0.0000 0.5000 0.2500
F1 F 0.0000 0.0000 0.0000
F2 F 0.0056 0.3660 0.1159
F3 F 0.1525 0.1433 0.1476
F4 F 0.1860 0.1964 0.5000
# E_form (uncorrected) ... -2563 meV per atom
# Total magnetic moment ... 0.00 μB per cell

***

3.
# TiAg2F6 | Alexandria | PBE | relaxed
data_TiAg2F6
_chemical_formula_sum 'Ti2 Ag4 F12'
_symmetry_space_group_name_H-M 'P 42/m n m'
_symmetry_Int_Tables_number 136
_symmetry_space_group_name_Hall '-P 4n 2n'
_cell_length_a 5.2921
_cell_length_b 5.2921
_cell_length_c 10.4642
_cell_angle_alpha 90.00
_cell_angle_beta 90.00
_cell_angle_gamma 90.00
loop_
_atom_site_label
_atom_site_type_symbol
_atom_site_fract_x
_atom_site_fract_y
_atom_site_fract_z
Ti1 Ti 0.0000 0.0000 0.0000
Ag1 Ag 0.0000 0.0000 0.3422
F1 F 0.1763 0.1763 0.1314
F2 F 0.2474 0.2474 0.5000
# E_form (uncorrected) ... -2369 meV per atom
# Total magnetic moment ... 0.00 μB per cell

***

4.
# TiAgF6 | Alexandria | PBE | relaxed
data_TiAgF6
_chemical_formula_sum 'Ti1 Ag1 F6'
_symmetry_space_group_name_H-M 'P -1'
_symmetry_Int_Tables_number 2
_cell_length_a 5.2201
_cell_length_b 5.3703
_cell_length_c 5.6150
_cell_angle_alpha 63.75
_cell_angle_beta 89.44
_cell_angle_gamma 61.21
loop_
_symmetry_equiv_pos_as_xyz
'x,y,z'
'-x,-y,-z'
loop_
_atom_site_label
_atom_site_type_symbol
_atom_site_fract_x
_atom_site_fract_y
_atom_site_fract_z
Ti1 Ti 0.0000 0.0000 0.0000
Ag1 Ag 0.5000 0.0000 0.5000
F1 F 0.0720 0.5830 0.2100
F2 F 0.2442 0.8603 0.7736
F3 F 0.3529 0.8724 0.2393
# E_form (uncorrected) ... -2517 meV per atom
# Total magnetic moment ... 1.05 μB per cell

***

Number 4 is which compound?
TiAgF6

***

Look up the E_form (uncorrected) of the third one.
-2369 meV per atom

***

Among the records above, which one has the highest E_form (uncorrected)?
TiAg2F6